Density functional theory data (PBE) for a geometry-optimized TmLu structure.

POSCAR file:
```
TmLu
1.0
3.5235 0.0000 0.0000
-1.7617 3.0514 0.0000
0.0000 0.0000 5.4966
Tm Lu
1 1
Direct
0.0000 0.0000 0.0000
0.3333 0.6667 0.5000
```

Values from the calculation:
Energy ... -0.1653 hartree per atom
ΔE_f ... 0 meV per atom

Density functional theory data (PBE) for a geometry-optimized TmLu2 structure.

POSCAR file:
```
TmLu2
1.0
0.0000 4.5238 4.5238
4.5238 0.0000 4.5238
4.5238 4.5238 0.0000
Tm Lu
2 4
Direct
0.1250 0.1250 0.1250
0.8750 0.8750 0.8750
0.0000 0.5000 0.5000
0.5000 0.0000 0.5000
0.5000 0.5000 0.0000
0.5000 0.5000 0.5000
```

Values from the calculation:
Energy ... -0.1557 hartree per atom
ΔE_f ... 272 meV per atom

Density functional theory data (PBE) for a geometry-optimized TmLuW structure.

POSCAR file:
```
TmLuW
1.0
0.0000 3.4015 3.4015
3.4015 0.0000 3.4015
3.4015 3.4015 0.0000
Tm Lu W
1 1 1
Direct
0.0000 0.0000 0.0000
0.5000 0.5000 0.5000
0.7500 0.7500 0.7500
```

Values from the calculation:
Energy ... -0.2385 hartree per atom
ΔE_f ... 830 meV per atom

Density functional theory data (PBE) for a geometry-optimized YTm6Lu structure.

POSCAR file:
```
YTm6Lu
1.0
7.1267 0.0000 0.0000
-3.5633 6.1719 0.0000
0.0000 0.0000 5.5453
Y Tm Lu
1 6 1
Direct
0.0000 0.0000 0.0000
0.3343 0.1671 0.5000
0.5004 0.0008 0.0000
0.5004 0.4996 0.0000
0.8329 0.1671 0.5000
0.8329 0.6657 0.5000
0.9992 0.4996 0.0000
0.3333 0.6667 0.5000
```

Values from the calculation:
Energy ... -0.1738 hartree per atom
ΔE_f ... 1 meV per atom

Density functional theory data (PBE) for a geometry-optimized YTmLu structure.

POSCAR file:
```
YTmLu
1.0
0.0000 3.7962 3.7962
3.7962 0.0000 3.7962
3.7962 3.7962 0.0000
Y Tm Lu
1 1 1
Direct
0.0000 0.0000 0.0000
0.5000 0.5000 0.5000
0.7500 0.7500 0.7500
```

Values from the calculation:
Energy ... -0.1628 hartree per atom
ΔE_f ... 725 meV per atom

Density functional theory data (PBE) for a geometry-optimized TmLuZr structure.

POSCAR file:
```
TmLuZr
1.0
0.0000 3.6177 3.6177
3.6177 0.0000 3.6177
3.6177 3.6177 0.0000
Tm Lu Zr
1 1 1
Direct
0.0000 0.0000 0.0000
0.2500 0.2500 0.2500
0.5000 0.5000 0.5000
```

Values from the calculation:
Energy ... -0.1809 hartree per atom
ΔE_f ... 927 meV per atom